Entry 1:
VASP calculation (PBE-GGA) on an optimized crystal structure of Sr2GeBP.

**E**: -4.193 eV per atom
**Density of states at the Fermi level**: 2.1 states/eV/f.u.

Geometry as POSCAR:
```
Sr2GeBP
1.0
5.707 0.000 0.000
0.000 5.707 0.000
0.000 0.000 3.744
Sr Ge B P
2 1 1 1
Cartesian
0.000 2.854 0.000
2.854 0.000 0.000
0.000 0.000 1.872
0.000 0.000 0.000
2.854 2.854 1.872
```


Entry 2:
VASP calculation (PBE-GGA) on an optimized crystal structure of VGe2BP.

**E**: -5.397 eV per atom
**Density of states at the Fermi level**: 6.5 states/eV/f.u.

Geometry as POSCAR:
```
VGe2BP
1.0
4.217 0.000 0.000
0.000 4.217 0.000
0.000 0.000 4.283
V Ge B P
1 2 1 1
Cartesian
0.000 0.000 0.000
0.000 2.109 2.141
2.109 0.000 2.141
0.000 0.000 2.141
2.109 2.109 0.000
```


no.,total moment (μB per formula unit)
1,0.000
2,0.208